## Na2ZnHgBr6 (PBE-GGA)

Data for a relaxed structure of Na2ZnHgBr6.

Lattice parameters (Å, degrees): 8.3627 8.3627 8.3627 51.76 51.76 51.76
Last column: nearest neighbours and their distance in Å.
Atoms (fractional coordinates):
Na: 0.0000 0.0000 0.0000  6 Br 3.01-3.03
Na: 0.4949 0.4949 0.4949  6 Br 3.01-3.03
Zn: 0.7481 0.7481 0.7481  3 Br 2.36
Hg: 0.2475 0.2475 0.2475  3 Br 2.58
Br: 0.0708 0.7489 0.4241  1 Zn 2.36
Br: 0.2481 0.6015 0.8935  1 Hg 2.58
Br: 0.4241 0.0708 0.7489  1 Zn 2.36
Br: 0.6015 0.8935 0.2481  1 Hg 2.58
Br: 0.7489 0.4241 0.0708  1 Zn 2.36
Br: 0.8935 0.2481 0.6015  1 Hg 2.58

Results
- ΔE_f (raw) (meV per atom) = -990.7
- DFT total energy (eV/atom) = -2.416